(1)
## NdCo4P2 (PBE)

Data for a geometry-optimized NdCo4P2 structure.

Calculated values
The value obtained for the spin magnetization is 0.3138 μB/atom. The value obtained for the energy above the most stable polymorph in this dataset is 0 meV/atom. As for the crystal system: tetragonal. The formation energy is -661 meV/atom. The final energy is -6.949 eV/atom.

Unit cell a=3.5780 b=7.1847 c=7.1847 alpha=90.00 beta=90.00 gamma=90.00
Element x y z (fractional)
1 P 0.0000 0.7762 0.2238
2 Co 0.5000 0.5813 0.1558
3 P 0.5000 0.7238 0.7238
4 P 0.0000 0.2238 0.7762
5 Co 0.5000 0.4187 0.8442
6 Co 0.0000 0.0813 0.3442
7 Co 0.0000 0.9187 0.6558
8 Nd 0.5000 0.0000 0.0000
9 Co 0.5000 0.1558 0.5813
10 Co 0.0000 0.6558 0.9187
11 P 0.5000 0.2762 0.2762
12 Co 0.0000 0.3442 0.0813
13 Co 0.5000 0.8442 0.4187
14 Nd 0.0000 0.5000 0.5000

---

(2)
## LiGaPt2 (PBE)

Data for a geometry-optimized LiGaPt2 structure.

Calculated values
The value obtained for the spin magnetization is 0.0000 μB/atom. As for the crystal system: tetragonal. The formation energy is -740 meV/atom. The final energy is -4.996 eV/atom.

Unit cell a=3.4489 b=4.0402 c=4.0402 alpha=90.00 beta=90.00 gamma=90.00
Element x y z (fractional)
1 Pt 0.0000 0.5000 0.0000
2 Pt 0.0000 0.0000 0.5000
3 Ga 0.5000 0.0000 0.0000
4 Li 0.5000 0.5000 0.5000

---

(3)
## SnPdRu2O (PBE)

Data for a geometry-optimized SnPdRu2O structure.

Calculated values
The value obtained for the spin magnetization is 0.9049 μB/atom. The calculation puts the uncorrected formation energy at 126 kJ/mol of atoms. As for the crystal system: tetragonal. The final energy is -5.240 eV/atom.

Unit cell a=5.0594 b=3.9613 c=5.0594 alpha=90.00 beta=90.00 gamma=90.00
Element x y z (fractional)
1 Pd 0.5000 0.5000 0.5000
2 Ru 0.5000 0.0000 0.0000
3 Ru 0.0000 0.0000 0.5000
4 Sn 0.0000 0.0000 0.0000
5 O 0.0000 0.5000 0.0000